#A
Compound: Mn2CdHg
Source: the Alexandria database
Functional: PBE
Structure: optimized geometry

Unit cell a=4.6800 b=4.6800 c=4.6800 alpha=60.00 beta=60.00 gamma=60.00
Fractional positions:
Mn 0.2500 0.2500 0.2500
Mn 0.7500 0.7500 0.7500
Cd 0.0000 0.0000 0.0000
Hg 0.5000 0.5000 0.5000

**Density**: 9.69 g cm⁻³
**N(E_F)**: 1.173 states/eV per atom
**Symmetry**: Fm-3m
**Total magnetization**: 7.71 μB per cell
**Volume**: 72.5 Å³ per cell

#B
Compound: Mn2CdHg
Source: the Alexandria database
Functional: PBE
Structure: optimized geometry

Unit cell a=6.0044 b=6.0044 c=6.0044 alpha=103.20 beta=103.20 gamma=122.91
Fractional positions:
Mn 0.1180 0.6250 0.9930
Mn 0.3750 0.3680 0.4930
Mn 0.6320 0.1250 0.0070
Mn 0.8750 0.8820 0.5070
Cd 0.2500 0.7500 0.5000
Cd 0.5000 0.5000 0.0000
Hg 0.0000 0.0000 0.0000
Hg 0.7500 0.2500 0.5000

**Density**: 8.80 g cm⁻³
**N(E_F)**: 1.297 states/eV per atom
**Symmetry**: I-42d
**Total magnetization**: 15.19 μB per cell
**Volume**: 159.6 Å³ per cell

Name the most stable of them. #A.

#A
Compound: Mn2CdHg
Source: the Alexandria database
Functional: PBE
Structure: optimized geometry

Unit cell a=4.6986 b=4.6986 c=4.6986 alpha=60.00 beta=60.00 gamma=60.00
Fractional positions:
Mn 0.0000 0.0000 0.0000
Mn 0.2500 0.2500 0.2500
Cd 0.5000 0.5000 0.5000
Hg 0.7500 0.7500 0.7500

**Density**: 9.57 g cm⁻³
**N(E_F)**: 1.399 states/eV per atom
**Symmetry**: F-43m
**Total magnetization**: 7.82 μB per cell
**Volume**: 73.3 Å³ per cell

#B
Compound: Mn2CdHg
Source: the Alexandria database
Functional: PBE
Structure: optimized geometry

Unit cell a=4.9413 b=4.9413 c=4.9413 alpha=128.53 beta=128.53 gamma=75.77
Fractional positions:
Mn 0.2500 0.7500 0.5000
Mn 0.7500 0.2500 0.5000
Cd 0.0000 0.0000 0.0000
Hg 0.5000 0.5000 0.0000

**Density**: 9.78 g cm⁻³
**N(E_F)**: 0.803 states/eV per atom
**Symmetry**: I4/mmm
**Total magnetization**: 7.49 μB per cell
**Volume**: 71.8 Å³ per cell

#C
Compound: Mn2CdHg
Source: the Alexandria database
Functional: PBE
Structure: optimized geometry

Unit cell a=9.3592 b=9.3592 c=9.3592 alpha=18.74 beta=18.74 gamma=18.74
Fractional positions:
Mn 0.2502 0.2502 0.2502
Mn 0.7498 0.7498 0.7498
Cd 0.5000 0.5000 0.5000
Hg 0.0000 0.0000 0.0000

**Density**: 9.50 g cm⁻³
**N(E_F)**: 0.725 states/eV per atom
**Symmetry**: R-3m
**Total magnetization**: 7.43 μB per cell
**Volume**: 73.9 Å³ per cell

Name the most stable of them. #B.

#A
Compound: Mn2CdHg
Source: the Alexandria database
Functional: PBE
Structure: optimized geometry

Unit cell a=3.0847 b=3.8308 c=6.0870 alpha=90.00 beta=90.24 gamma=90.00
Fractional positions:
Mn 0.9997 0.0000 0.2484
Mn 0.0003 0.0000 0.7516
Cd 0.5000 0.5000 0.5000
Hg 0.5000 0.5000 0.0000

**Density**: 9.76 g cm⁻³
**N(E_F)**: 0.736 states/eV per atom
**Symmetry**: P2/m
**Total magnetization**: 7.49 μB per cell
**Volume**: 71.9 Å³ per cell

#B
Compound: Mn2CdHg
Source: the Alexandria database
Functional: PBE
Structure: optimized geometry

Unit cell a=4.9272 b=4.9272 c=5.3210 alpha=99.66 beta=99.66 gamma=35.58
Fractional positions:
Mn 0.2492 0.2492 0.2533
Mn 0.7508 0.7508 0.7467
Cd 0.0000 0.0000 0.5000
Hg 0.5000 0.5000 0.0000

**Density**: 9.49 g cm⁻³
**N(E_F)**: 0.712 states/eV per atom
**Symmetry**: C2/m
**Total magnetization**: 7.54 μB per cell
**Volume**: 74.0 Å³ per cell

Name the most stable of them. #A.

#A
Compound: Cd3HgMo
Source: the Alexandria database
Functional: PBE
Structure: optimized geometry

Unit cell a=5.3220 b=5.3220 c=5.3220 alpha=90.00 beta=90.00 gamma=90.00
Fractional positions:
Cd 0.0000 0.0000 0.5000
Cd 0.0000 0.5000 0.0000
Cd 0.5000 0.0000 0.0000
Hg 0.0000 0.0000 0.0000
Mo 0.5000 0.5000 0.5000

**Density**: 6.98 g cm⁻³
**N(E_F)**: 0.544 states/eV per atom
**Symmetry**: Pm-3m
**Total magnetization**: 4.89 μB per cell
**Volume**: 150.7 Å³ per cell

#B
Compound: Cd3HgMo
Source: the Alexandria database
Functional: PBE
Structure: optimized geometry

Unit cell a=5.5361 b=5.5361 c=5.5361 alpha=90.00 beta=90.00 gamma=90.00
Fractional positions:
Cd 0.0000 0.0000 0.5000
Cd 0.0000 0.5000 0.0000
Cd 0.5000 0.0000 0.0000
Hg 0.5000 0.5000 0.5000
Mo 0.0000 0.0000 0.0000

**Density**: 6.20 g cm⁻³
**N(E_F)**: 0.671 states/eV per atom
**Symmetry**: Pm-3m
**Total magnetization**: 3.67 μB per cell
**Volume**: 169.7 Å³ per cell

Name the most stable of them. #B.

#A
Compound: Cd3HgN
Source: the Alexandria database
Functional: PBE
Structure: optimized geometry

Unit cell a=4.6880 b=4.6880 c=4.6880 alpha=90.00 beta=90.00 gamma=90.00
Fractional positions:
Cd 0.0000 0.0000 0.5000
Cd 0.0000 0.5000 0.0000
Cd 0.5000 0.0000 0.0000
Hg 0.5000 0.5000 0.5000
N 0.0000 0.0000 0.0000

**Density**: 8.89 g cm⁻³
**N(E_F)**: 0.505 states/eV per atom
**Symmetry**: Pm-3m
**Total magnetization**: 0.00 μB per cell
**Volume**: 103.0 Å³ per cell

#B
Compound: Cd3HgN
Source: the Alexandria database
Functional: PBE
Structure: optimized geometry

Unit cell a=5.3604 b=5.3604 c=5.3604 alpha=90.00 beta=90.00 gamma=90.00
Fractional positions:
Cd 0.0000 0.0000 0.5000
Cd 0.0000 0.5000 0.0000
Cd 0.5000 0.0000 0.0000
Hg 0.0000 0.0000 0.0000
N 0.5000 0.5000 0.5000

**Density**: 5.95 g cm⁻³
**N(E_F)**: 1.613 states/eV per atom
**Symmetry**: Pm-3m
**Total magnetization**: 0.00 μB per cell
**Volume**: 154.0 Å³ per cell

Name the most stable of them. #A.

#A
Compound: CdHg3N
Source: the Alexandria database
Functional: PBE
Structure: optimized geometry

Unit cell a=5.8514 b=5.8514 c=5.8514 alpha=90.00 beta=90.00 gamma=90.00
Fractional positions:
Cd 0.0000 0.0000 0.0000
Hg 0.0000 0.0000 0.5000
Hg 0.0000 0.5000 0.0000
Hg 0.5000 0.0000 0.0000
N 0.5000 0.5000 0.5000

**Density**: 6.04 g cm⁻³
**N(E_F)**: 0.413 states/eV per atom
**Symmetry**: Pm-3m
**Total magnetization**: 2.78 μB per cell
**Volume**: 200.4 Å³ per cell

#B
Compound: CdHg3N
Source: the Alexandria database
Functional: PBE
Structure: optimized geometry

Unit cell a=4.8616 b=4.8616 c=4.8616 alpha=90.00 beta=90.00 gamma=90.00
Fractional positions:
Cd 0.0000 0.0000 0.0000
Hg 0.0000 0.5000 0.5000
Hg 0.5000 0.0000 0.5000
Hg 0.5000 0.5000 0.0000
N 0.5000 0.5000 0.5000

**Density**: 10.52 g cm⁻³
**N(E_F)**: 0.414 states/eV per atom
**Symmetry**: Pm-3m
**Total magnetization**: 0.00 μB per cell
**Volume**: 114.9 Å³ per cell

Name the most stable of them. #B.

#A
Compound: CdHgSN2
Source: the Alexandria database
Functional: PBE
Structure: optimized geometry

Unit cell a=4.1875 b=4.1875 c=5.8807 alpha=90.00 beta=90.00 gamma=90.00
Fractional positions:
Cd 0.0000 0.0000 0.0000
Hg 0.5000 0.5000 0.5000
S 0.5000 0.5000 0.0000
N 0.0000 0.5000 0.5000
N 0.5000 0.0000 0.5000

**Density**: 6.01 g cm⁻³
**N(E_F)**: 0.491 states/eV per atom
**Symmetry**: P4/mmm
**Total magnetization**: 3.31 μB per cell
**Volume**: 103.1 Å³ per cell

#B
Compound: CdHgSN2
Source: the Alexandria database
Functional: PBE
Structure: optimized geometry

Unit cell a=4.2554 b=4.2554 c=5.7308 alpha=90.00 beta=90.00 gamma=90.00
Fractional positions:
Cd 0.0000 0.0000 0.0000
Hg 0.5000 0.5000 0.5000
S 0.0000 0.0000 0.5000
N 0.0000 0.5000 0.0000
N 0.5000 0.0000 0.0000

**Density**: 5.97 g cm⁻³
**N(E_F)**: 0.484 states/eV per atom
**Symmetry**: P4/mmm
**Total magnetization**: 3.90 μB per cell
**Volume**: 103.8 Å³ per cell

Name the most stable of them. #B.

#A
Compound: CdHgTe2N
Source: the Alexandria database
Functional: PBE
Structure: optimized geometry

Unit cell a=5.0979 b=5.0979 c=4.4399 alpha=90.00 beta=90.00 gamma=90.00
Fractional positions:
Cd 0.0000 0.0000 0.0000
Hg 0.5000 0.5000 0.0000
Te 0.0000 0.5000 0.5000
Te 0.5000 0.0000 0.5000
N 0.0000 0.0000 0.5000

**Density**: 8.38 g cm⁻³
**N(E_F)**: 0.430 states/eV per atom
**Symmetry**: P4/mmm
**Total magnetization**: 0.00 μB per cell
**Volume**: 115.4 Å³ per cell

#B
Compound: CdHgTe2N
Source: the Alexandria database
Functional: PBE
Structure: optimized geometry

Unit cell a=5.8943 b=5.8943 c=4.0406 alpha=90.00 beta=90.00 gamma=90.00
Fractional positions:
Cd 0.0000 0.0000 0.0000
Hg 0.5000 0.5000 0.5000
Te 0.0000 0.5000 0.5000
Te 0.5000 0.0000 0.5000
N 0.5000 0.5000 0.0000

**Density**: 6.89 g cm⁻³
**N(E_F)**: 0.692 states/eV per atom
**Symmetry**: P4/mmm
**Total magnetization**: 1.71 μB per cell
**Volume**: 140.4 Å³ per cell

Name the most stable of them. #A.

#A
Compound: CdHgTeN2
Source: the Alexandria database
Functional: PBE
Structure: optimized geometry

Unit cell a=4.3256 b=4.3256 c=6.4774 alpha=90.00 beta=90.00 gamma=90.00
Fractional positions:
Cd 0.0000 0.0000 0.0000
Hg 0.5000 0.5000 0.5000
Te 0.5000 0.5000 0.0000
N 0.0000 0.5000 0.5000
N 0.5000 0.0000 0.5000

**Density**: 6.42 g cm⁻³
**N(E_F)**: 0.475 states/eV per atom
**Symmetry**: P4/mmm
**Total magnetization**: 3.48 μB per cell
**Volume**: 121.2 Å³ per cell

#B
Compound: CdHgTeN2
Source: the Alexandria database
Functional: PBE
Structure: optimized geometry

Unit cell a=4.3675 b=4.3675 c=6.4820 alpha=90.00 beta=90.00 gamma=90.00
Fractional positions:
Cd 0.0000 0.0000 0.0000
Hg 0.5000 0.5000 0.5000
Te 0.0000 0.0000 0.5000
N 0.0000 0.5000 0.0000
N 0.5000 0.0000 0.0000

**Density**: 6.29 g cm⁻³
**N(E_F)**: 0.449 states/eV per atom
**Symmetry**: P4/mmm
**Total magnetization**: 4.06 μB per cell
**Volume**: 123.6 Å³ per cell

Name the most stable of them. #B.

#A
Compound: NaCdHg
Source: the Alexandria database
Functional: PBE
Structure: optimized geometry

Unit cell a=8.7104 b=8.7104 c=8.7104 alpha=150.50 beta=150.50 gamma=42.20
Fractional positions:
Na 0.1738 0.1738 0.0000
Na 0.8262 0.8262 0.0000
Cd 0.0000 0.5000 0.5000
Cd 0.5000 0.0000 0.5000
Hg 0.3650 0.3650 0.0000
Hg 0.6350 0.6350 0.0000

**Density**: 6.98 g cm⁻³
**N(E_F)**: 0.378 states/eV per atom
**Symmetry**: I4/mmm
**Total magnetization**: 0.00 μB per cell
**Volume**: 159.8 Å³ per cell

#B
Compound: NaCdHg
Source: the Alexandria database
Functional: PBE
Structure: optimized geometry

Unit cell a=5.1219 b=5.1219 c=3.2688 alpha=90.00 beta=90.00 gamma=120.00
Fractional positions:
Na 0.0000 0.0000 0.0000
Cd 0.6667 0.3333 0.5000
Hg 0.3333 0.6667 0.5000

**Density**: 7.51 g cm⁻³
**N(E_F)**: 0.240 states/eV per atom
**Symmetry**: P-6m2
**Total magnetization**: 0.00 μB per cell
**Volume**: 74.3 Å³ per cell

Name the most stable of them. #B.

#A
Compound: NaCdHg
Source: the Alexandria database
Functional: PBE
Structure: optimized geometry

Unit cell a=5.8349 b=5.8349 c=5.2112 alpha=90.48 beta=90.48 gamma=125.31
Fractional positions:
Na 0.0925 0.9075 0.7500
Na 0.9075 0.0925 0.2500
Cd 0.4179 0.5821 0.7500
Cd 0.5821 0.4179 0.2500
Hg 0.2451 0.7549 0.2500
Hg 0.7549 0.2451 0.7500

**Density**: 7.71 g cm⁻³
**N(E_F)**: 0.385 states/eV per atom
**Symmetry**: C2/c
**Total magnetization**: 0.00 μB per cell
**Volume**: 144.7 Å³ per cell

#B
Compound: NaCdHg
Source: the Alexandria database
Functional: PBE
Structure: optimized geometry

Unit cell a=5.9147 b=5.9147 c=6.2214 alpha=90.41 beta=90.41 gamma=46.29
Fractional positions:
Na 0.1971 0.1971 0.2515
Na 0.8029 0.8029 0.7485
Cd 0.5000 0.5000 0.0000
Cd 0.5000 0.5000 0.5000
Hg 0.1089 0.1089 0.7506
Hg 0.8911 0.8911 0.2494

**Density**: 7.09 g cm⁻³
**N(E_F)**: 0.437 states/eV per atom
**Symmetry**: C2/m
**Total magnetization**: 0.00 μB per cell
**Volume**: 157.3 Å³ per cell

Name the most stable of them. #B.

#A
Compound: NaCdHg
Source: the Alexandria database
Functional: PBE
Structure: optimized geometry

Unit cell a=5.7095 b=5.7095 c=5.7095 alpha=140.36 beta=140.36 gamma=57.30
Fractional positions:
Na 0.0000 0.0000 0.0000
Cd 0.3271 0.3271 0.0000
Hg 0.6653 0.6653 0.0000

**Density**: 7.43 g cm⁻³
**N(E_F)**: 0.319 states/eV per atom
**Symmetry**: I4mm
**Total magnetization**: 0.00 μB per cell
**Volume**: 75.1 Å³ per cell

#B
Compound: NaCdHg
Source: the Alexandria database
Functional: PBE
Structure: optimized geometry

Unit cell a=4.9731 b=4.9731 c=4.9731 alpha=60.00 beta=60.00 gamma=60.00
Fractional positions:
Na 0.0000 0.0000 0.0000
Cd 0.5000 0.5000 0.5000
Hg 0.7500 0.7500 0.7500

**Density**: 6.42 g cm⁻³
**N(E_F)**: 0.599 states/eV per atom
**Symmetry**: F-43m
**Total magnetization**: 0.00 μB per cell
**Volume**: 87.0 Å³ per cell

Name the most stable of them. #A.